(1)
Crystalline PmGa4Rh at its relaxed geometry. Source: Alexandria, functional PBE.

Lattice parameters (Å, degrees): 4.2943 15.9131 6.5692 90.00 90.00 90.00
Space group Cmcm (No. 63)
One atom of each set of equivalent atoms:
Pm  0.0000  0.1189  0.2500 x4
Ga  0.0000  0.0673  0.7500 x4
Ga  0.0000  0.3173  0.0502 x8
Ga  0.0000  0.5000  0.0000 x4
Rh  0.0000  0.2204  0.7500 x4

Output
Total magnetization, Bohr magnetons per cell: 0.00
Offset from the most stable computed form, meV per atom: 0
Formation energy from the elements, eV/f.u.: -3.93
Volume, A^3/atom: 18.704


(2)
Crystalline KTlIn2Bi at its relaxed geometry. Source: Alexandria, functional PBE.

Lattice parameters (Å, degrees): 4.8732 5.0498 14.2895 90.00 90.00 90.00
Space group Imm2 (No. 44)
One atom of each set of equivalent atoms:
K  0.0000  0.0000  0.0000 x2
Tl  0.0000  0.5000  0.7450 x2
In  0.0000  0.0000  0.3810 x2
In  0.0000  0.5000  0.2485 x2
Bi  0.0000  0.0000  0.6019 x2

Output
Total magnetization, Bohr magnetons per cell: 0.00
Formation energy from the elements, eV/f.u.: -0.55
Volume, A^3/atom: 35.164


(3)
Crystalline LiHfW3 at its relaxed geometry. Source: Alexandria, functional PBE.

Lattice parameters (Å, degrees): 4.8419 4.8419 4.8419 90.00 90.00 90.00
Space group Pm-3m (No. 221)
One atom of each set of equivalent atoms:
Li  0.0000  0.0000  0.0000 x1
Hf  0.5000  0.5000  0.5000 x1
W  0.0000  0.5000  0.5000 x3

Output
Total magnetization, Bohr magnetons per cell: 0.00
Offset from the most stable computed form, meV per atom: 1167
Formation energy from the elements, eV/f.u.: 12.03
Volume, A^3/atom: 22.702


(4)
Crystalline CaMn2Cu at its relaxed geometry. Source: Alexandria, functional PBE.

Lattice parameters (Å, degrees): 5.5987 9.6923 2.8991 90.00 117.75 90.00
Space group C2/m (No. 12)
One atom of each set of equivalent atoms:
Ca  0.0000  0.0000  0.0000 x2
Mn  0.2500  0.2500  0.5000 x4
Cu  0.0000  0.5000  0.0000 x2

Output
Total magnetization, Bohr magnetons per cell: 13.82
Formation energy from the elements, eV/f.u.: 2.33
Volume, A^3/atom: 17.403


(5)
Crystalline Al2TeMo at its relaxed geometry. Source: Alexandria, functional PBE.

Lattice parameters (Å, degrees): 4.6096 4.6096 3.4036 90.00 90.00 90.00
Space group P4/mmm (No. 123)
One atom of each set of equivalent atoms:
Al  0.0000  0.5000  0.0000 x2
Te  0.0000  0.0000  0.5000 x1
Mo  0.5000  0.5000  0.5000 x1

Output
Formation energy (no corrections), eV per atom: 0.30
Total magnetization, Bohr magnetons per cell: 0.00
Volume, A^3/atom: 18.080


(6)
Crystalline CdSi3Cl at its relaxed geometry. Source: Alexandria, functional PBE.

Lattice parameters (Å, degrees): 4.7958 4.7958 4.7958 90.00 90.00 90.00
Space group Pm-3m (No. 221)
One atom of each set of equivalent atoms:
Cd  0.0000  0.0000  0.0000 x1
Si  0.0000  0.5000  0.5000 x3
Cl  0.5000  0.5000  0.5000 x1

Output
Formation energy (no corrections), eV per atom: 1.08
Total magnetization, Bohr magnetons per cell: 0.00
Offset from the most stable computed form, meV per atom: 0
Volume, A^3/atom: 22.060


(7)
Crystalline Y7SbSe5 at its relaxed geometry. Source: Alexandria, functional PBE.

Lattice parameters (Å, degrees): 4.0823 13.4001 24.2483 90.00 90.00 90.00
Space group Cmcm (No. 63)
One atom of each set of equivalent atoms:
Y  0.0000  0.0215  0.2500 x4
Y  0.0000  0.1389  0.5369 x8
Y  0.0000  0.3144  0.1777 x8
Y  0.0000  0.4040  0.6186 x8
Sb  0.0000  0.3082  0.7500 x4
Se  0.0000  0.0490  0.6415 x8
Se  0.0000  0.2234  0.0715 x8
Se  0.0000  0.5000  0.0000 x4

Output
Formation energy (no corrections), eV per atom: -1.56
Total magnetization, Bohr magnetons per cell: 0.00
Volume, A^3/atom: 25.509


(8)
Crystalline La2H6PtRh at its relaxed geometry. Source: Alexandria, functional PBE.

Lattice parameters (Å, degrees): 7.4507 7.7685 5.3674 90.00 133.79 90.00
Space group C2/m (No. 12)
One atom of each set of equivalent atoms:
La  0.0000  0.2501  0.0000 x4
H  0.0000  0.2335  0.5000 x4
H  0.2342  0.0000  0.9680 x4
H  0.2484  0.0000  0.5005 x4
Pt  0.0000  0.5000  0.5000 x2
Rh  0.0000  0.0000  0.5000 x2

Output
Total magnetization, Bohr magnetons per cell: 0.00
Electronic total energy, eV per cell: -98.240
Volume, A^3/atom: 11.213


(9)
Crystalline PrDy4Er8 at its relaxed geometry. Source: Alexandria, functional PBE.

Lattice parameters (Å, degrees): 7.2651 7.2651 26.8805 90.00 90.00 120.00
Space group R-3m (No. 166, hexagonal axes)
One atom of each set of equivalent atoms:
Pr  0.0000  0.0000  0.0000 x3
Dy  0.0000  0.0000  0.5000 x3
Dy  0.0000  0.5000  0.5000 x9
Er  0.0000  0.0000  0.2816 x6
Er  0.0388  0.5194  0.2686 x18

Output
Total magnetization, Bohr magnetons per cell: 0.00
Formation energy from the elements, eV/f.u.: 2.66
Volume, A^3/atom: 31.506


(10)
Crystalline ZnGePdRh at its relaxed geometry. Source: Alexandria, functional PBE.

Lattice parameters (Å, degrees): 6.1391 6.1391 6.1391 90.00 90.00 90.00
Space group F-43m (No. 216)
One atom of each set of equivalent atoms:
Zn  0.0000  0.0000  0.0000 x4
Ge  0.0000  0.0000  0.5000 x4
Pd  0.2500  0.2500  0.7500 x4
Rh  0.2500  0.2500  0.2500 x4

Output
Total magnetization, Bohr magnetons per cell: 0.00
Formation energy from the elements, eV/f.u.: -1.66
Volume, A^3/atom: 14.461


(11)
Crystalline PmAlCl6 at its relaxed geometry. Source: Alexandria, functional PBE.

Lattice parameters (Å, degrees): 6.3660 12.5394 6.3350 90.00 106.03 90.00
Space group C2/m (No. 12)
One atom of each set of equivalent atoms:
Pm  0.0000  0.0000  0.0000 x2
Al  0.0000  0.5000  0.5000 x2
Cl  0.2126  0.3664  0.7164 x8
Cl  0.2361  0.5000  0.2680 x4

Output
Formation energy (no corrections), eV per atom: -1.82
Total magnetization, Bohr magnetons per cell: 0.00
Volume, A^3/atom: 30.377


(12)
Crystalline SmBeRu at its relaxed geometry. Source: Alexandria, functional PBE.

Lattice parameters (Å, degrees): 6.9780 4.1651 7.2244 90.00 90.00 90.00
Space group Pnma (No. 62)
One atom of each set of equivalent atoms:
Sm  0.0073  0.2500  0.1970 x4
Be  0.1803  0.2500  0.5875 x4
Ru  0.1658  0.7500  0.4326 x4

Output
Total magnetization, Bohr magnetons per cell: 0.00
Offset from the most stable computed form, meV per atom: 0
Formation energy from the elements, eV/f.u.: -0.62
Volume, A^3/atom: 17.498